DFT (GGA-PBE) results for NaCd4Ge2 after structural relaxation.

Cell: 8.7145 8.7145 4.4285 Å, 90.00 90.00 90.00°
With the nearest neighbours (Å) after each atom.
Element x y z (fractional)
Na: 0.0000 0.0000 0.0000  6 Ge 3.29-3.63, 8 Cd 3.58
Na: 0.5000 0.5000 0.5000  6 Ge 3.29-3.63, 8 Cd 3.58
Cd: 0.0675 0.3163 0.5000  3 Ge 2.72-2.85
Cd: 0.1837 0.5675 0.0000  3 Ge 2.72-2.85
Cd: 0.3163 0.0675 0.5000  3 Ge 2.72-2.85
Cd: 0.4325 0.8163 0.0000  3 Ge 2.72-2.85
Cd: 0.5675 0.1837 0.0000  3 Ge 2.72-2.85
Cd: 0.6837 0.9325 0.5000  3 Ge 2.72-2.85
Cd: 0.8163 0.4325 0.0000  3 Ge 2.72-2.85
Cd: 0.9325 0.6837 0.5000  3 Ge 2.72-2.85
Ge: 0.2332 0.7668 0.5000  6 Cd 2.72-2.85
Ge: 0.2668 0.2668 0.0000  6 Cd 2.72-2.85
Ge: 0.7332 0.7332 0.0000  6 Cd 2.72-2.85
Ge: 0.7668 0.2332 0.5000  6 Cd 2.72-2.85

Calculated values
The polymorph energy (0 for the lowest one) is 31 meV per atom. The value obtained for the calculated formation energy is 0.3 kcal/mol of atoms. As for the space-group type: No. 136. As for the density of states at the Fermi level: 1.54 states/eV/f.u.